# 1
The following is a PBE calculation of an optimized crystal structure of TiSbTe2N, from the Alexandria database.

Output
Distance to the lowest polymorph of the same formula (eV per atom): 0.8534
Density of states at the Fermi level (states/eV per cell): 5.5
Crystal system: tetragonal
Calculated total energy (eV/cell): -22.436

Unit cell a=5.767 b=5.767 c=3.921 alpha=90.00 beta=90.00 gamma=90.00
Element x y z (fractional)
Ti 0.000 0.000 0.000
Sb 0.500 0.500 0.500
Te 0.000 0.500 0.500
Te 0.500 0.000 0.500
N 0.500 0.500 0.000

# 2
The following is a PBE calculation of an optimized crystal structure of YCuHg2, from the Alexandria database.

Output
Formation enthalpy at 0 K (kJ/mol of atoms): -25.9
Density of states at the Fermi level (states/eV per cell): 6.3
Crystal system: tetragonal
Calculated total energy (eV/cell): -24.479

Unit cell a=8.829 b=8.829 c=8.829 alpha=149.68 beta=149.68 gamma=43.42
Element x y z (fractional)
Y 0.140 0.140 0.000
Y 0.860 0.860 0.000
Cu 0.250 0.750 0.500
Cu 0.750 0.250 0.500
Hg 0.000 0.500 0.500
Hg 0.343 0.343 0.000
Hg 0.500 0.000 0.500
Hg 0.657 0.657 0.000

# 3
The following is a PBE calculation of an optimized crystal structure of Gd2TiAl, from the Alexandria database.

Output
Formation enthalpy at 0 K (kJ/mol of atoms): -4.3
Distance to the lowest polymorph of the same formula (eV per atom): 0.0097
Density of states at the Fermi level (states/eV per cell): 6.3
Crystal system: cubic
Calculated total energy (eV/cell): -39.976

Unit cell a=5.179 b=5.179 c=5.179 alpha=60.00 beta=60.00 gamma=60.00
Element x y z (fractional)
Gd 0.250 0.250 0.250
Gd 0.750 0.750 0.750
Ti 0.000 0.000 0.000
Al 0.500 0.500 0.500

# 4
The following is a PBE calculation of an optimized crystal structure of GeBiAs2, from the Alexandria database.

Output
Formation enthalpy at 0 K (kJ/mol of atoms): 17.3
Distance to the lowest polymorph of the same formula (eV per atom): 0.1048
Density of states at the Fermi level (states/eV per cell): 5.3
Crystal system: tetragonal
Calculated total energy (eV/cell): -34.159

Unit cell a=6.911 b=6.911 c=6.911 alpha=120.66 beta=120.66 gamma=88.86
Element x y z (fractional)
Ge 0.000 0.000 0.000
Ge 0.750 0.250 0.500
Bi 0.250 0.750 0.500
Bi 0.500 0.500 0.000
As 0.078 0.625 0.953
As 0.375 0.328 0.453
As 0.672 0.125 0.047
As 0.875 0.922 0.547

Copy entry 4 word for word.
The following is a PBE calculation of an optimized crystal structure of GeBiAs2, from the Alexandria database.

Output
Formation enthalpy at 0 K (kJ/mol of atoms): 17.3
Distance to the lowest polymorph of the same formula (eV per atom): 0.1048
Density of states at the Fermi level (states/eV per cell): 5.3
Crystal system: tetragonal
Calculated total energy (eV/cell): -34.159

Unit cell a=6.911 b=6.911 c=6.911 alpha=120.66 beta=120.66 gamma=88.86
Element x y z (fractional)
Ge 0.000 0.000 0.000
Ge 0.750 0.250 0.500
Bi 0.250 0.750 0.500
Bi 0.500 0.500 0.000
As 0.078 0.625 0.953
As 0.375 0.328 0.453
As 0.672 0.125 0.047
As 0.875 0.922 0.547